Record 1
4
Lattice="0.000 3.124 3.124 3.124 0.000 3.124 3.124 3.124 0.000" Properties=species:S:1:pos:R:3 comment="CaMnCo2, relaxed, DFT PBE" dft_energy_ry_per_atom=-0.4277 n_ef_per_ev_cell=3.61 e_above_lowest_polymorph_mev_per_atom=330 formation_energy_ev_per_atom=0.53 pbc="T T T"
Ca 0.000 0.000 0.000
Mn 1.562 1.562 1.562
Co 3.124 3.124 3.124
Co 4.687 4.687 4.687

Record 2
12
Lattice="8.153 -2.290 0.000 8.153 2.290 0.000 -5.680 0.000 10.308" Properties=species:S:1:pos:R:3 comment="Pm2SBr3, relaxed, DFT PBE" dft_energy_ry_per_atom=-0.3621 n_ef_per_ev_cell=1.63 formation_energy_uncorrected_ev_per_atom=-1.818 pbc="T T T"
Pm -0.933 0.000 4.558
Pm 4.823 0.000 1.962
Pm 5.802 0.000 8.346
Pm 11.558 0.000 5.750
S -2.248 0.000 6.976
S 12.874 0.000 3.332
Br 2.504 0.000 0.136
Br 2.181 0.000 4.053
Br 2.945 0.000 7.783
Br 7.680 0.000 2.525
Br 8.444 0.000 6.255
Br 8.121 0.000 10.172

Record 3
5
Lattice="4.452 0.000 0.000 0.000 4.452 0.000 0.000 0.000 4.452" Properties=species:S:1:pos:R:3 comment="SrBePd3, relaxed, DFT PBE" dft_energy_ry_per_atom=-0.3482 n_ef_per_ev_cell=0.68 e_above_lowest_polymorph_mev_per_atom=0 formation_energy_ev_per_atom=-0.54 pbc="T T T"
Sr 0.000 0.000 0.000
Be 2.226 2.226 2.226
Pd 0.000 2.226 2.226
Pd 2.226 0.000 2.226
Pd 2.226 2.226 0.000